VASP calculation (PBE) on a relaxed structure of Pm6NdY2Th.

Unit cell a=9.548 b=8.955 c=8.955 alpha=115.89 beta=92.73 gamma=92.73
Fractional coordinates of all 20 atoms:
Pm 0.691 0.009 0.569
Pm 0.386 0.518 0.294
Pm 0.614 0.482 0.706
Pm 0.438 0.238 0.883
Pm 0.562 0.762 0.117
Pm 0.309 0.991 0.431
Pm 0.114 0.706 0.482
Pm 0.886 0.294 0.518
Pm 0.191 0.569 0.009
Pm 0.809 0.431 0.991
Pm 0.062 0.117 0.762
Pm 0.938 0.883 0.238
Nd 0.250 0.967 0.033
Nd 0.750 0.033 0.967
Y 0.948 0.700 0.800
Y 0.052 0.300 0.200
Y 0.552 0.200 0.300
Y 0.448 0.800 0.700
Th 0.250 0.410 0.590
Th 0.750 0.590 0.410

## Properties
**Total magnetic moment**: 0.000 μB per atom
**Density**: 6.89 g cm⁻³
**Total energy**: -5.219 eV/atom
**DOS at the Fermi energy**: 29.0 states/eV/cell
**Formation energy**: 0.14 eV per atom
**SG**: No. 15



VASP calculation (PBE) on a relaxed structure of ErHfSb.

Unit cell a=3.635 b=4.941 c=4.941 alpha=120.00 beta=90.00 gamma=90.00
Fractional coordinates of all 3 atoms:
Sb 0.235 0.333 0.667
Hf 0.122 0.000 0.000
Er 0.643 0.667 0.333

## Properties
**Total magnetic moment**: 0.000 μB per atom
**Density**: 10.10 g cm⁻³
**Total energy**: -6.367 eV/atom
**DOS at the Fermi energy**: 3.0 states/eV/cell
**ΔE_f (raw)**: -0.1546 eV per atom
**SG**: No. 156